(1)
Material: Pr2PuRh
Method: DFT, PBE
State: optimized geometry

Lattice parameters (Å, degrees): 10.7990 10.7990 10.7990 20.02 20.02 20.02
With the nearest neighbours (Å) after each atom.
Element x y z (fractional)
Pr 0.1092 0.1092 0.1092  3 Rh 2.83
Pr 0.8908 0.8908 0.8908  3 Rh 2.83
Pu 0.0000 0.0000 0.0000  2 Pr 3.47, 6 Pu 3.75
Rh 0.5000 0.5000 0.5000  6 Pr 2.83

Results
Space group = R-3m
Total magnetic moment = 6.5 μB/f.u.
Energy relative to the lowest polymorph listed for this composition = 230 meV/atom
Calculated formation energy = 0.055 eV per atom

=====

(2)
Material: ScInTe2
Method: DFT, PBE
State: optimized geometry

Lattice parameters (Å, degrees): 5.3323 5.3323 3.8022 95.56 95.56 90.21
With the nearest neighbours (Å) after each atom.
Element x y z (fractional)
Sc 0.0000 0.0000 0.0000  8 Te 3.12-3.42
In 0.5000 0.5000 0.0000  8 Te 3.12-3.42
Te 0.0000 0.5000 0.5000  4 In 3.12-3.42, 4 Sc 3.12-3.42
Te 0.5000 0.0000 0.5000  4 In 3.12-3.42, 4 Sc 3.12-3.42

Results
Space group = C2/m
Total magnetic moment = 0.0 μB/f.u.
DFT total energy = -4.282 eV/atom

=====

(3)
Material: La3Ge3Pt8
Method: DFT, PBE
State: optimized geometry

Lattice parameters (Å, degrees): 8.5102 8.5102 9.0292 121.11 121.11 30.08
With the nearest neighbours (Å) after each atom.
Element x y z (fractional)
La 0.0000 0.0000 0.0000  8 Pt 2.98-3.24
La 0.2935 0.2935 0.3297  10 Pt 3.06-3.38, 3 Ge 3.34-3.35
La 0.7065 0.7065 0.6703  10 Pt 3.06-3.38, 3 Ge 3.34-3.35
Ge 0.0000 0.0000 0.5000  8 Pt 2.53-2.76
Ge 0.3272 0.3272 0.9958  5 Pt 2.47-2.69
Ge 0.6728 0.6728 0.0042  5 Pt 2.47-2.69
Pt 0.1127 0.1127 0.3901  1 Ge 2.53, 4 Pt 2.75-2.78
Pt 0.1366 0.1366 0.8427  4 Ge 2.54-2.68
Pt 0.3530 0.3530 0.7506  1 Ge 2.47, 2 Pt 2.75
Pt 0.4933 0.4933 0.3098  3 Ge 2.69-2.76, 5 Pt 2.78-2.86
Pt 0.5067 0.5067 0.6902  3 Ge 2.69-2.76, 5 Pt 2.78-2.86
Pt 0.6470 0.6470 0.2494  1 Ge 2.47, 2 Pt 2.75
Pt 0.8634 0.8634 0.1573  4 Ge 2.54-2.68
Pt 0.8873 0.8873 0.6099  1 Ge 2.53, 4 Pt 2.75-2.78

Results
Space group = C2/m
Total magnetic moment = 0.0 μB/f.u.
Calculated formation energy = -0.949 eV per atom